Record 1
Be4ReIr: relaxed, PBE-GGA.

Cell lengths 4.3809, 4.3809, 4.3809 Å; angles 60.00, 60.00, 60.00 degrees
Closest atoms and distances in Å follow each position.
Atoms (fractional coordinates):
Be 0.8811 0.3730 0.3730  6 Be 2.15-2.23
Be 0.3730 0.3730 0.8811  6 Be 2.15-2.23
Be 0.3730 0.8811 0.3730  6 Be 2.15-2.23
Be 0.3730 0.3730 0.3730  6 Be 2.15-2.23
Re 0.0000 0.0000 0.0000  12 Be 2.56, 4 Ir 2.68
Ir 0.7500 0.7500 0.7500  12 Be 2.57, 4 Re 2.68

For the size of the total moment, the calculation gives 0.0 μB/f.u. The formation energy comes out at -0.3006 eV per atom.

Record 2
BeReIr2: relaxed, PBE-GGA.

Cell lengths 4.2585, 4.2585, 4.2585 Å; angles 60.00, 60.00, 60.00 degrees
Closest atoms and distances in Å follow each position.
Atoms (fractional coordinates):
Re 0.7500 0.7500 0.7500  4 Be 2.61, 4 Ir 2.61
Ir 0.0000 0.0000 0.0000  4 Ir 2.61, 4 Re 2.61
Ir 0.2500 0.2500 0.2500  4 Be 2.61, 4 Ir 2.61
Be 0.5000 0.5000 0.5000  4 Re 2.61, 4 Ir 2.61

For the size of the total moment, the calculation gives 0.0 μB/f.u. The formation energy comes out at 0.1963 eV per atom.

Record 3
BeReIr2: relaxed, PBE-GGA.

Cell lengths 4.6239, 4.6239, 4.5869 Å; angles 80.76, 80.76, 34.65 degrees
Closest atoms and distances in Å follow each position.
Atoms (fractional coordinates):
Re 0.5049 0.5049 0.4757  7 Ir 2.54-2.76, 1 Be 2.73, 2 Re 2.75
Ir 0.0005 0.0005 0.9547  3 Be 2.52-2.56, 4 Re 2.59-2.76, 4 Ir 2.75-2.81
Ir 0.2513 0.2513 0.2838  3 Re 2.54-2.60, 4 Be 2.67-2.68, 4 Ir 2.75-2.81
Be 0.7433 0.7433 0.7859  7 Ir 2.52-2.68, 1 Re 2.73, 2 Be 2.75

For the size of the total moment, the calculation gives 0.0 μB/f.u. The formation energy comes out at -0.1026 eV per atom.

Record 4
BeReIr2: relaxed, PBE-GGA.

Cell lengths 8.4793, 8.4793, 8.4793 Å; angles 18.59, 18.59, 18.59 degrees
Closest atoms and distances in Å follow each position.
Atoms (fractional coordinates):
Re 0.4961 0.4961 0.4961  3 Be 2.60, 3 Ir 2.66, 6 Re 2.74
Ir 0.0084 0.0084 0.0084  3 Be 2.40
Ir 0.2483 0.2483 0.2483  3 Re 2.66, 9 Ir 2.74-2.82
Be 0.7471 0.7471 0.7471  3 Ir 2.40, 3 Re 2.60

For the size of the total moment, the calculation gives 0.0 μB/f.u. The formation energy comes out at -0.0071 eV per atom.

Record 5
BeReIr2: relaxed, PBE-GGA.

Cell lengths 3.9418, 2.7404, 5.1647 Å; angles 74.61, 90.00, 90.00 degrees
Closest atoms and distances in Å follow each position.
Atoms (fractional coordinates):
Re 0.0000 0.5546 0.5154  4 Be 2.65, 7 Ir 2.66-2.70, 2 Re 2.74
Ir 0.0000 0.8256 0.9736  2 Be 2.29
Ir 0.5000 0.1764 0.2717  1 Be 2.33
Be 0.5000 0.9434 0.7394  3 Ir 2.29-2.33

For the size of the total moment, the calculation gives 0.0 μB/f.u. The formation energy comes out at -0.1436 eV per atom.

Record 6
Be2ReIr2: relaxed, PBE-GGA.

Cell lengths 6.7832, 6.7832, 2.7251 Å; angles 90.00, 90.00, 90.00 degrees
Closest atoms and distances in Å follow each position.
Atoms (fractional coordinates):
Re 0.0000 0.0000 0.0000  4 Ir 2.63, 2 Re 2.73, 8 Be 2.89
Re 0.5000 0.5000 0.0000  4 Ir 2.63, 2 Re 2.73, 8 Be 2.89
Ir 0.3623 0.8623 0.0000  6 Be 2.36-2.45, 2 Re 2.63, 1 Ir 2.64
Ir 0.8623 0.6377 0.0000  6 Be 2.36-2.45, 2 Re 2.63, 1 Ir 2.64
Ir 0.6377 0.1377 0.0000  6 Be 2.36-2.45, 2 Re 2.63, 1 Ir 2.64
Ir 0.1377 0.3623 0.0000  6 Be 2.36-2.45, 2 Re 2.63, 1 Ir 2.64
Be 0.1611 0.6611 0.5000  6 Ir 2.36-2.45
Be 0.6611 0.8389 0.5000  6 Ir 2.36-2.45
Be 0.8389 0.3389 0.5000  6 Ir 2.36-2.45
Be 0.3389 0.1611 0.5000  6 Ir 2.36-2.45

For the size of the total moment, the calculation gives 0.0 μB/f.u. The formation energy comes out at -0.0219 eV per atom.

Record 7
BeReIr2: relaxed, PBE-GGA.

Cell lengths 2.6954, 2.6954, 8.5295 Å; angles 90.00, 90.00, 117.80 degrees
Closest atoms and distances in Å follow each position.
Atoms (fractional coordinates):
Re 0.0000 0.0000 0.5189  2 Be 2.47, 2 Ir 2.65, 4 Re 2.70
Ir 0.0000 0.0000 0.9691  2 Be 2.28
Ir 0.5000 0.5000 0.2542  2 Re 2.65, 8 Ir 2.70-2.80
Be 0.5000 0.5000 0.7578  2 Ir 2.28, 2 Re 2.47

For the size of the total moment, the calculation gives 0.0 μB/f.u. The formation energy comes out at 0.1652 eV per atom.

Record 8
BeReIr2: relaxed, PBE-GGA.

Cell lengths 2.7882, 2.7882, 6.6162 Å; angles 90.00, 90.00, 90.00 degrees
Closest atoms and distances in Å follow each position.
Atoms (fractional coordinates):
Re 0.5000 0.5000 0.2500  8 Ir 2.72, 4 Re 2.79
Ir 0.0000 0.0000 0.9672  4 Be 2.44, 4 Re 2.72
Ir 0.0000 0.0000 0.5328  4 Be 2.44, 4 Re 2.72
Be 0.5000 0.5000 0.7500  8 Ir 2.44

For the size of the total moment, the calculation gives 0.0 μB/f.u. The formation energy comes out at -0.4134 eV per atom.